# TbPmAu2

A geometry-optimized TbPmAu2 structure (GGA-PBE, Alexandria via LeMat-Bulk).

Unit cell a=3.6319 b=3.6319 c=7.3835 alpha=90.00 beta=90.00 gamma=90.00
Closest atoms and distances in Å follow each position.
Space group P4/mmm (No. 123)
Asymmetric unit:
1 Tb 0.0000 0.0000 0.0000 x1  8 Au 3.10
2 Pm 0.0000 0.0000 0.5000 x1  8 Au 3.23
3 Au 0.5000 0.5000 0.2350 x2  4 Tb 3.10, 4 Pm 3.23, 1 Au 3.47

Values from the calculation:
E_form = -0.820 eV/atom
Calculated total energy = -4.804 eV per atom